(1)
The following is a SCAN calculation of a crystal of SrWBr2 relaxed with PBEsol, from Alexandria via LeMat-Bulk.

Structure (CIF):
```
data_SrWBr2
_cell_length_a 3.521
_cell_length_b 4.652
_cell_length_c 6.202
_cell_angle_alpha 90.00
_cell_angle_beta 90.00
_cell_angle_gamma 90.00
_symmetry_space_group_name_H-M 'P m m m'
_symmetry_Int_Tables_number 47
loop_
_symmetry_equiv_pos_as_xyz
'x,y,z'
'-x,-y,-z'
'-x,-y,z'
'x,y,-z'
'x,-y,-z'
'-x,y,z'
'-x,y,-z'
'x,-y,z'
loop_
_atom_site_label
_atom_site_type_symbol
_atom_site_fract_x
_atom_site_fract_y
_atom_site_fract_z
Sr1 Sr 0.000 0.000 0.000
W1 W 0.500 0.000 0.500
Br1 Br 0.000 0.500 0.500
Br2 Br 0.500 0.500 0.000
```


(2)
The following is a SCAN calculation of a crystal of SrWBr2 relaxed with PBEsol, from Alexandria via LeMat-Bulk.

Structure (CIF):
```
data_SrWBr2
_cell_length_a 4.218
_cell_length_b 4.218
_cell_length_c 11.678
_cell_angle_alpha 90.00
_cell_angle_beta 90.00
_cell_angle_gamma 90.00
_symmetry_space_group_name_H-M 'I -4 m 2'
_symmetry_Int_Tables_number 119
_symmetry_space_group_name_Hall 'I -4 -2'
loop_
_atom_site_label
_atom_site_type_symbol
_atom_site_fract_x
_atom_site_fract_y
_atom_site_fract_z
Sr1 Sr 0.000 0.000 0.000
W1 W 0.000 0.500 0.250
Br1 Br 0.000 0.000 0.500
Br2 Br 0.000 0.500 0.750
```


(3)
The following is a SCAN calculation of a crystal of SrWBr2 relaxed with PBEsol, from Alexandria via LeMat-Bulk.

Structure (CIF):
```
data_SrWBr2
_cell_length_a 3.367
_cell_length_b 3.367
_cell_length_c 8.634
_cell_angle_alpha 90.00
_cell_angle_beta 90.00
_cell_angle_gamma 90.00
_symmetry_space_group_name_H-M 'P 4 m m'
_symmetry_Int_Tables_number 99
loop_
_symmetry_equiv_pos_as_xyz
'x,y,z'
'-y,x,z'
'-x,-y,z'
'y,-x,z'
'-x,y,z'
'y,x,z'
'x,-y,z'
'-y,-x,z'
loop_
_atom_site_label
_atom_site_type_symbol
_atom_site_fract_x
_atom_site_fract_y
_atom_site_fract_z
Sr1 Sr 0.000 0.000 0.000
W1 W 0.500 0.500 0.292
Br1 Br 0.000 0.000 0.421
Br2 Br 0.500 0.500 0.783
```


Computed excess energy over the best structure of this formula in the dataset, in the same sequence as the records: 254; 298; 0 meV/atom.
Computed M_tot, in the same sequence as the records: 3.41; 4.11; 0.30 μB per formula unit.